[1]
A geometry-optimized Pa2PPt structure, computed with PBE.

ΔE_f	-309	meV per atom
V	89.9	Å³/cell

a b c (Å): 3.3549 3.3549 9.4230
angles (deg): 79.75 79.75 60.00
With the nearest neighbours (Å) after each atom.
Sites, in units of the cell vectors:
P1 0.5000 0.5000 0.5000  6 Pa 2.73
Pa1 0.0971 0.0971 0.7086  1 Pt 2.69, 3 P 2.73
Pa2 0.9029 0.9029 0.2914  1 Pt 2.69, 3 P 2.73
Pt1 0.0000 0.0000 0.0000  2 Pa 2.69

[2]
A geometry-optimized PaPPt2 structure, computed with PBE.

ΔE_f	-625	meV per atom
V	76.0	Å³/cell

a b c (Å): 4.9647 4.9647 4.5692
angles (deg): 57.09 57.09 60.00
With the nearest neighbours (Å) after each atom.
Sites, in units of the cell vectors:
P1 0.0000 0.0000 0.0000  2 Pt 2.39
Pa1 0.5000 0.5000 0.5000  8 Pt 2.93-2.95
Pt1 0.2238 0.2238 0.3286  1 P 2.39
Pt2 0.7762 0.7762 0.6714  1 P 2.39

[3]
A geometry-optimized PaP2Pt structure, computed with PBE.

ΔE_f	-156	meV per atom
V	72.6	Å³/cell

a b c (Å): 3.0141 3.0141 9.3871
angles (deg): 80.76 80.76 60.00
With the nearest neighbours (Å) after each atom.
Sites, in units of the cell vectors:
P1 0.0830 0.0830 0.7510  1 Pt 2.30
P2 0.9170 0.9170 0.2490  1 Pt 2.30
Pa1 0.5000 0.5000 0.5000  6 P 2.90, 6 Pa 3.01
Pt1 0.0000 0.0000 0.0000  2 P 2.30

[4]
A geometry-optimized PaP2Pt structure, computed with PBE.

ΔE_f	-839	meV per atom
V	69.2	Å³/cell

a b c (Å): 3.6356 4.3634 4.3634
angles (deg): 90.00 90.00 90.00
With the nearest neighbours (Å) after each atom.
Sites, in units of the cell vectors:
P1 0.0000 0.0000 0.5000  4 Pa 2.84, 4 Pt 2.84, 4 P 3.09
P2 0.0000 0.5000 0.0000  4 Pa 2.84, 4 Pt 2.84, 4 P 3.09
Pa1 0.5000 0.0000 0.0000  8 P 2.84, 4 Pt 3.09
Pt1 0.5000 0.5000 0.5000  8 P 2.84, 4 Pa 3.09

[5]
A geometry-optimized Pa2PPt structure, computed with PBE.

ΔE_f	-873	meV per atom
V	81.0	Å³/cell

a b c (Å): 3.2860 3.2860 7.5049
angles (deg): 90.00 90.00 90.00
With the nearest neighbours (Å) after each atom.
Sites, in units of the cell vectors:
P1 0.5000 0.5000 0.5000  8 Pa 2.91
Pa1 0.0000 0.0000 0.7344  4 P 2.91, 4 Pt 3.06
Pa2 0.0000 0.0000 0.2656  4 P 2.91, 4 Pt 3.06
Pt1 0.5000 0.5000 0.0000  8 Pa 3.06, 4 Pt 3.29

[6]
A geometry-optimized Pa2PPt3 structure, computed with PBE.

ΔE_f	-1061	meV per atom
V	233.6	Å³/cell

a b c (Å): 5.6089 5.6089 8.8165
angles (deg): 113.11 113.11 76.46
With the nearest neighbours (Å) after each atom.
Sites, in units of the cell vectors:
Pa1 0.7500 0.2500 0.5000  8 Pt 3.02, 4 P 3.09
Pa2 0.7714 0.2286 0.0000  10 Pt 3.10-3.13, 2 P 3.15, 1 Pa 3.17
Pa3 0.2500 0.7500 0.5000  8 Pt 3.02, 4 P 3.09
Pa4 0.2286 0.7714 0.0000  10 Pt 3.10-3.13, 2 P 3.15, 1 Pa 3.17
P1 0.6654 0.6654 0.3309  3 Pt 2.38-2.42
P2 0.3346 0.3346 0.6691  3 Pt 2.38-2.42
Pt1 0.8227 0.8227 0.1761  1 P 2.38
Pt2 0.6467 0.6467 0.8239  1 P 2.38
Pt3 0.1773 0.1773 0.8239  1 P 2.38
Pt4 0.3533 0.3533 0.1761  1 P 2.38
Pt5 0.1763 0.1763 0.3526  1 P 2.42, 2 Pt 2.70
Pt6 0.8237 0.8237 0.6474  1 P 2.42, 2 Pt 2.70

[7]
A geometry-optimized PaP2Ru5Pt structure, computed with PBE.

ΔE_f	-292	meV per atom
V	139.8	Å³/cell

a b c (Å): 4.1096 4.1096 8.2804
angles (deg): 90.00 90.00 90.00
With the nearest neighbours (Å) after each atom.
Sites, in units of the cell vectors:
Pa1 0.0000 0.0000 0.5000  12 Ru 2.91
P1 0.5000 0.5000 0.1300  1 P 2.15, 4 Ru 2.29
P2 0.5000 0.5000 0.8700  1 P 2.15, 4 Ru 2.29
Ru1 0.0000 0.5000 0.2512  2 P 2.29
Ru2 0.5000 0.0000 0.2512  2 P 2.29
Ru3 0.0000 0.5000 0.7488  2 P 2.29
Ru4 0.5000 0.0000 0.7488  2 P 2.29
Ru5 0.5000 0.5000 0.5000  4 Pa 2.91, 8 Ru 2.91, 2 P 3.06
Pt1 0.0000 0.0000 0.0000  8 Ru 2.92, 8 P 3.10

[8]
A geometry-optimized Pa4PPtS2 structure, computed with PBE.

formation energy from raw total energies	-1.281	eV/atom
V	177.4	Å³/cell

a b c (Å): 3.8210 6.9054 7.0904
angles (deg): 71.48 90.00 90.00
With the nearest neighbours (Å) after each atom.
Sites, in units of the cell vectors:
Pa1 0.0000 0.7520 0.7470  3 S 2.78-2.85, 2 Pt 2.81, 1 P 2.83
Pa2 0.0000 0.2480 0.2530  3 S 2.78-2.85, 2 Pt 2.81, 1 P 2.83
Pa3 0.5000 0.7557 0.2550  3 S 2.78-2.80, 2 P 2.80, 1 Pt 2.90
Pa4 0.5000 0.2443 0.7450  3 S 2.78-2.80, 2 P 2.80, 1 Pt 2.90
P1 0.0000 0.5000 0.5000  6 Pa 2.80-2.83
Pt1 0.5000 0.5000 0.0000  6 Pa 2.81-2.90
S1 0.0000 0.0000 0.0000  6 Pa 2.80-2.85
S2 0.5000 0.0000 0.5000  6 Pa 2.78

| no. | D(E_F) (states/eV/cell) |
| --- | --- |
| 1 | 5.08 |
| 2 | 2.19 |
| 3 | 3.97 |
| 4 | 3.09 |
| 5 | 6.41 |
| 6 | 9.38 |
| 7 | 8.19 |
| 8 | 13.28 |